No. 1
The following is a PBE calculation of a relaxed TiCuB crystal, from Alexandria via LeMat-Bulk.

Cell: 4.3632 4.3632 6.0097 Å, 91.52 91.52 39.96°
Fractional coordinates of all 6 atoms:
Ti: 0.0000 0.0000 0.0000
Ti: 0.7293 0.7293 0.6628
Cu: 0.4436 0.4436 0.3674
Cu: 0.7245 0.7245 0.1854
B: 0.0164 0.0164 0.6220
B: 0.4473 0.4473 0.7134

Computed properties:
Raw total energy (eV/atom): -6.404
E_form (meV per atom): -181
Space group: Cm (8)
Density of states at the Fermi level (states/eV per cell): 3.06
Size of the total moment (μB per formula unit): 0.00
Crystal system: monoclinic

=====

No. 2
The following is a PBE calculation of a relaxed TiCuB crystal, from Alexandria via LeMat-Bulk.

Cell: 7.2053 7.2053 3.0084 Å, 90.00 90.00 152.40°
Fractional coordinates of all 6 atoms:
Ti: 0.0864 0.9136 0.7500
Ti: 0.9136 0.0864 0.2500
Cu: 0.2588 0.7412 0.2500
Cu: 0.7412 0.2588 0.7500
B: 0.4731 0.5269 0.7500
B: 0.5269 0.4731 0.2500

Computed properties:
Raw total energy (eV/atom): -6.445
E_form (meV per atom): -222
Space group: Cmcm (63)
Density of states at the Fermi level (states/eV per cell): 2.92
Size of the total moment (μB per formula unit): 0.00
Crystal system: orthorhombic

=====

No. 3
The following is a PBE calculation of a relaxed TiCuB crystal, from Alexandria via LeMat-Bulk.

Cell: 4.8062 4.8062 4.8062 Å, 138.89 91.57 102.66°
Fractional coordinates of all 6 atoms:
Ti: 0.1822 0.2500 0.4322
Ti: 0.8178 0.7500 0.5678
Cu: 0.5668 0.9322 0.1346
Cu: 0.7976 0.4322 0.8654
B: 0.2148 0.5277 0.1871
B: 0.3406 0.0277 0.8129

Computed properties:
Raw total energy (eV/atom): -6.318
E_form (meV per atom): -95
Space group: Ima2 (46)
Density of states at the Fermi level (states/eV per cell): 4.92
Size of the total moment (μB per formula unit): 0.00
Crystal system: orthorhombic

=====

No. 4
The following is a PBE calculation of a relaxed TiCuB crystal, from Alexandria via LeMat-Bulk.

Cell: 6.8771 6.8771 3.0274 Å, 90.00 90.00 152.56°
Fractional coordinates of all 6 atoms:
Ti: 0.0915 0.9085 0.7500
Ti: 0.9085 0.0915 0.2500
Cu: 0.2958 0.7042 0.7500
Cu: 0.7042 0.2958 0.2500
B: 0.4666 0.5334 0.7500
B: 0.5334 0.4666 0.2500

Computed properties:
Raw total energy (eV/atom): -6.821
E_form (meV per atom): -598
Space group: Cmcm (63)
Density of states at the Fermi level (states/eV per cell): 1.94
Size of the total moment (μB per formula unit): 0.00
Crystal system: orthorhombic

=====

Question: Which value of size of the total moment does entry 1 give?
Answer: 0.00 μB per formula unit

=====

Copy entry 1 word for word.
The following is a PBE calculation of a relaxed TiCuB crystal, from Alexandria via LeMat-Bulk.

Cell: 4.3632 4.3632 6.0097 Å, 91.52 91.52 39.96°
Fractional coordinates of all 6 atoms:
Ti: 0.0000 0.0000 0.0000
Ti: 0.7293 0.7293 0.6628
Cu: 0.4436 0.4436 0.3674
Cu: 0.7245 0.7245 0.1854
B: 0.0164 0.0164 0.6220
B: 0.4473 0.4473 0.7134

Computed properties:
Raw total energy (eV/atom): -6.404
E_form (meV per atom): -181
Space group: Cm (8)
Density of states at the Fermi level (states/eV per cell): 3.06
Size of the total moment (μB per formula unit): 0.00
Crystal system: monoclinic